A geometry-optimized Sm6AgRh2 structure. Source: the Alexandria database, functional PBE.

* raw total energy: -5.5377 eV per atom
* magnetic moment: 0.00 μB per formula unit
* energy of formation from the pure elements: -0.441 eV/atom
* space-group type: No. 71

Cell: 8.613 8.613 8.613 Å, 104.70 110.37 113.46°
Atoms (fractional coordinates):
Sm1 0.107 0.286 0.821
Sm2 0.803 0.767 0.570
Sm3 0.694 0.365 0.672
Sm4 0.306 0.978 0.672
Sm5 0.306 0.635 0.328
Sm6 0.197 0.767 0.964
Sm7 0.893 0.714 0.179
Sm8 0.535 0.714 0.821
Sm9 0.197 0.233 0.430
Sm10 0.803 0.233 0.036
Sm11 0.694 0.022 0.328
Sm12 0.465 0.286 0.179
Ag1 0.000 0.000 0.000
Ag2 0.000 0.500 0.500
Rh1 0.500 0.632 0.132
Rh2 0.664 0.000 0.664
Rh3 0.336 0.000 0.336
Rh4 0.500 0.368 0.868